The following is a GGA-PBE calculation of Cs3TlCr2I9 after structural relaxation, from Alexandria.

Cell lengths 8.3812, 8.3812, 10.6448 Å; angles 90.00, 90.00, 120.00 degrees
Last column: nearest neighbours and their distance in Å.
Space group P-3m1 (No. 164)
Inequivalent atoms, fractional coordinates:
Cs (0.0000, 0.0000, 0.0000) [1 per cell]  12 I 4.13-4.19
Cs (0.3333, 0.6667, 0.6790) [2 per cell]  12 I 4.19-4.59
Tl (0.0000, 0.0000, 0.5000) [1 per cell]  6 I 3.32
Cr (0.3333, 0.6667, 0.1559) [2 per cell]  6 I 2.76-2.93
I (0.0000, 0.5000, 0.0000) [3 per cell]  2 Cr 2.93
I (0.1773, 0.3546, 0.3034) [6 per cell]  1 Cr 2.76

Properties
Formation energy without anion corrections, meV per atom: -844
Calculated total energy, eV/atom: -3.386

The following is a GGA-PBE calculation of KAg2Sn3 after structural relaxation, from Alexandria.

Cell lengths 12.6837, 9.4325, 5.7747 Å; angles 90.00, 90.00, 90.00 degrees
Last column: nearest neighbours and their distance in Å.
Space group Cmcm (No. 63)
Inequivalent atoms, fractional coordinates:
K (0.0000, 0.1649, 0.2500) [4 per cell]  9 Sn 3.71-4.05, 4 Ag 3.75
Ag (0.2438, 0.0000, 0.0000) [8 per cell]  4 Sn 2.84-2.91, 2 Ag 2.89
Sn (0.0000, 0.4421, 0.7500) [4 per cell]  4 Sn 3.00-3.09
Sn (0.1875, 0.2484, 0.7500) [8 per cell]  4 Ag 2.84-2.91, 1 Sn 3.00

Properties
Calculated total energy, eV/atom: -3.223

Copy entry 1 word for word.
The following is a GGA-PBE calculation of Cs3TlCr2I9 after structural relaxation, from Alexandria.

Cell lengths 8.3812, 8.3812, 10.6448 Å; angles 90.00, 90.00, 120.00 degrees
Last column: nearest neighbours and their distance in Å.
Space group P-3m1 (No. 164)
Inequivalent atoms, fractional coordinates:
Cs (0.0000, 0.0000, 0.0000) [1 per cell]  12 I 4.13-4.19
Cs (0.3333, 0.6667, 0.6790) [2 per cell]  12 I 4.19-4.59
Tl (0.0000, 0.0000, 0.5000) [1 per cell]  6 I 3.32
Cr (0.3333, 0.6667, 0.1559) [2 per cell]  6 I 2.76-2.93
I (0.0000, 0.5000, 0.0000) [3 per cell]  2 Cr 2.93
I (0.1773, 0.3546, 0.3034) [6 per cell]  1 Cr 2.76

Properties
Formation energy without anion corrections, meV per atom: -844
Calculated total energy, eV/atom: -3.386